Record 1
A plane-wave DFT calculation with PBE was carried out for TbTh3Co after structural relaxation.

The structure in POSCAR format:
```
TbTh3Co
1.0
-4.1795 0.0303 3.3293
3.3042 -0.6196 4.1536
0.4096 5.3074 0.4659
Tb Th Co
1 3 1
Direct
0.5000 0.5000 0.5000 Tb
0.0000 0.0000 0.5000 Th
0.0000 0.5000 0.0000 Th
0.5000 0.0000 0.0000 Th
0.0000 0.0000 0.0000 Co
```

Properties
**Density of states at the Fermi level**: 9.37 states/eV per cell
**E_form**: 2 kJ per mole of atoms
**Energy**: -33.87 eV for the cell shown


Record 2
A plane-wave DFT calculation with PBE was carried out for Ba3Zn2In after structural relaxation.

The structure in POSCAR format:
```
Ba3Zn2In
1.0
4.1698 0.0000 0.0000
0.0000 4.1698 0.0000
0.0000 0.0000 12.4741
Zn Ba In
2 3 1
Direct
0.5000 0.5000 0.1633 Zn
0.5000 0.5000 0.8367 Zn
0.0000 0.0000 0.3260 Ba
0.0000 0.0000 0.6740 Ba
0.0000 0.0000 0.0000 Ba
0.5000 0.5000 0.5000 In
```

Properties
**Density of states at the Fermi level**: 3.49 states/eV per cell
**E_form**: -23 kJ per mole of atoms
**Energy**: -12.51 eV for the cell shown


Record 3
A plane-wave DFT calculation with PBE was carried out for Li5NbPt6 after structural relaxation.

The structure in POSCAR format:
```
Li5NbPt6
1.0
-4.0065 -0.8509 -1.4765
1.0950 -5.8166 0.3811
-4.1028 -0.4220 5.3471
Li Pt Nb
5 6 1
Direct
0.0000 0.5000 0.0000 Li
0.3304 0.0000 0.3389 Li
0.6669 0.5000 0.6700 Li
0.6696 0.0000 0.6611 Li
0.3331 0.5000 0.3300 Li
0.8305 0.2561 0.3363 Pt
0.8305 0.7439 0.3363 Pt
0.5000 0.2577 0.0000 Pt
0.1695 0.7439 0.6637 Pt
0.1695 0.2561 0.6637 Pt
0.5000 0.7423 0.0000 Pt
0.0000 0.0000 0.0000 Nb
```

Properties
**Density of states at the Fermi level**: 3.06 states/eV per cell
**E_form**: -58 kJ per mole of atoms
**Energy**: -63.07 eV for the cell shown


Record 4
A plane-wave DFT calculation with PBE was carried out for ReAgIr2 after structural relaxation.

The structure in POSCAR format:
```
ReAgIr2
1.0
-0.2154 4.7325 0.4727
-4.1199 1.4683 -1.8809
0.9208 -3.4061 3.1965
Ag Re Ir
1 1 2
Direct
0.7500 0.2500 0.5000 Ag
0.2500 0.7500 0.5000 Re
0.0000 0.0000 0.0000 Ir
0.5000 0.5000 0.0000 Ir
```

Properties
**Density of states at the Fermi level**: 4.11 states/eV per cell
**E_form**: 32 kJ per mole of atoms
**Energy**: -31.68 eV for the cell shown


Record 5
A plane-wave DFT calculation with PBE was carried out for LuCuHgRh after structural relaxation.

The structure in POSCAR format:
```
LuCuHgRh
1.0
4.6676 0.0000 0.0000
2.3338 4.0423 0.0000
2.3338 1.3474 3.8111
Cu Lu Rh Hg
1 1 1 1
Direct
0.5000 0.5000 0.5000 Cu
0.7500 0.7500 0.7500 Lu
0.0000 0.0000 0.0000 Rh
0.2500 0.2500 0.2500 Hg
```

Properties
**Density of states at the Fermi level**: 2.19 states/eV per cell
**E_form**: -33 kJ per mole of atoms
**Energy**: -17.64 eV for the cell shown


Record 6
A plane-wave DFT calculation with PBE was carried out for Pr3Mg2Cd3 after structural relaxation.

The structure in POSCAR format:
```
Pr3Mg2Cd3
1.0
-2.6780 2.5096 2.8848
-3.6574 -3.4514 -0.3928
6.6753 -4.0656 5.9568
Pr Cd Mg
3 3 2
Direct
0.3704 0.3704 0.7409 Pr
0.5000 0.0000 0.0000 Pr
0.6296 0.6296 0.2591 Pr
0.1421 0.1421 0.2841 Cd
0.8579 0.8579 0.7159 Cd
0.0000 0.5000 0.0000 Cd
0.2553 0.7553 0.5107 Mg
0.7447 0.2447 0.4893 Mg
```

Properties
**Density of states at the Fermi level**: 6.86 states/eV per cell
**E_form**: -20 kJ per mole of atoms
**Energy**: -21.97 eV for the cell shown


Record 7
A plane-wave DFT calculation with PBE was carried out for TaAg3Os after structural relaxation.

The structure in POSCAR format:
```
TaAg3Os
1.0
-1.6699 2.7824 3.6557
-2.5345 -3.8021 1.7362
3.8317 -1.3024 2.7415
Ta Ag Os
1 3 1
Direct
0.5000 0.5000 0.5000 Ta
0.5000 0.0000 0.0000 Ag
0.0000 0.5000 0.0000 Ag
0.0000 0.0000 0.5000 Ag
0.0000 0.0000 0.0000 Os
```

Properties
**Density of states at the Fermi level**: 8.48 states/eV per cell
**E_form**: 212 kJ per mole of atoms
**Energy**: -20.63 eV for the cell shown


Record 8
A plane-wave DFT calculation with PBE was carried out for TmThRu2 after structural relaxation.

The structure in POSCAR format:
```
TmThRu2
1.0
-1.7370 1.0670 4.4465
2.2240 -1.7642 3.9817
2.4943 3.0075 2.9429
Ru Tm Th
2 1 1
Direct
0.0001 0.9998 0.0001 Ru
0.4999 0.5002 0.4999 Ru
0.7500 0.7500 0.7500 Tm
0.2500 0.2500 0.2500 Th
```

Properties
**Density of states at the Fermi level**: 2.11 states/eV per cell
**E_form**: -46 kJ per mole of atoms
**Energy**: -32.35 eV for the cell shown


Record 9
A plane-wave DFT calculation with PBE was carried out for InSe2 after structural relaxation.

The structure in POSCAR format:
```
InSe2
1.0
6.3292 7.9928 5.0866
-9.0039 -6.2571 -3.0976
0.6525 -2.4178 2.9873
In Se
2 4
Direct
0.8747 0.1253 0.7500 In
0.1253 0.8747 0.2500 In
0.7440 0.2560 0.2500 Se
0.2560 0.7440 0.7500 Se
0.4112 0.5888 0.2500 Se
0.5888 0.4112 0.7500 Se
```

Properties
**Density of states at the Fermi level**: 2.55 states/eV per cell
**ΔE_f (raw)**: -0.51 eV per formula unit
**Energy**: -20.43 eV for the cell shown


Record 10
A plane-wave DFT calculation with PBE was carried out for Y2ZrCr after structural relaxation.

The structure in POSCAR format:
```
Y2ZrCr
1.0
10.4539 -0.0072 -0.0042
9.9122 3.3217 -0.0042
9.9122 1.6131 2.9036
Y Zr Cr
2 1 1
Direct
0.4943 0.4943 0.4943 Y
0.0057 0.0057 0.0057 Y
0.2500 0.2500 0.2500 Zr
0.7500 0.7500 0.7500 Cr
```

Properties
**Density of states at the Fermi level**: 3.99 states/eV per cell
**E_form**: 39 kJ per mole of atoms
**Energy**: -29.47 eV for the cell shown


Record 11
A plane-wave DFT calculation with PBE was carried out for TaReAu2Cl after structural relaxation.

The structure in POSCAR format:
```
TaReAu2Cl
1.0
-0.8565 -4.6057 0.8507
0.1065 -0.8029 -4.2395
4.6821 -0.8203 0.2729
Cl Re Ta Au
1 1 1 2
Direct
0.0000 0.0000 0.0000 Cl
0.0000 0.5000 0.0000 Re
0.5000 0.5000 0.5000 Ta
0.0000 0.0000 0.5000 Au
0.5000 0.0000 0.0000 Au
```

Properties
**Density of states at the Fermi level**: 5.63 states/eV per cell
**ΔE_f (raw)**: 8.93 eV per formula unit
**Energy**: -23.78 eV for the cell shown


Record 12
A plane-wave DFT calculation with PBE was carried out for SbAsO5 after structural relaxation.

The structure in POSCAR format:
```
SbAsO5
1.0
-1.3147 -4.2075 4.4836
-0.6685 -5.7043 -5.5491
7.9330 -1.6690 0.7600
Sb O As
4 20 4
Direct
0.2498 0.7500 0.0000 Sb
0.2502 0.2500 0.5000 Sb
0.7502 0.2500 0.5000 Sb
0.7498 0.7500 0.0000 Sb
0.7754 0.3824 0.2914 O
0.4998 0.6362 0.0927 O
0.2246 0.8824 0.2086 O
0.5001 0.4119 0.5838 O
0.0002 0.2317 0.0149 O
0.2249 0.3824 0.2913 O
0.2754 0.1176 0.7086 O
0.7751 0.8824 0.2087 O
0.4998 0.7683 0.5149 O
0.7246 0.6176 0.7914 O
0.9998 0.8638 0.9073 O
0.2751 0.6176 0.7913 O
0.5002 0.1362 0.4073 O
0.0002 0.3638 0.5927 O
0.7249 0.1176 0.7087 O
0.4999 0.9119 0.9162 O
0.0001 0.0881 0.4162 O
0.9998 0.7317 0.4851 O
0.9999 0.5881 0.0838 O
0.5002 0.2683 0.9851 O
0.0001 0.3681 0.1638 As
0.4999 0.6319 0.6638 As
0.9999 0.8681 0.3362 As
0.5001 0.1319 0.8362 As
```

Properties
**ΔE_f (raw)**: -7.44 eV per formula unit
**Energy**: -163.99 eV for the cell shown


Calculated volume for every record listed, in sequence, given in Å³/f.u.: 153, 217, 166, 60, 72, 217, 117, 83, 82, 101, 98, 102.